# 1
A plane-wave DFT calculation with GGA-PBE was carried out for an optimized crystal structure of Tb3Sm2Dy3.

CIF file:
```
data_Tb3Sm2Dy3
_space_group_name_H-M_alt 'I m m m'
_space_group_IT_number 71
_space_group_name_Hall '-I 2 2'
_cell_length_a 5.050
_cell_length_b 5.050
_cell_length_c 20.170
_cell_angle_alpha 90.00
_cell_angle_beta 90.00
_cell_angle_gamma 90.00
loop_
_atom_site_label
_atom_site_type_symbol
_atom_site_fract_x
_atom_site_fract_y
_atom_site_fract_z
Tb1 Tb 0.000 0.000 0.000
Tb2 Tb 0.000 0.500 0.376
Sm1 Sm 0.000 0.000 0.250
Dy1 Dy 0.000 0.000 0.500
Dy2 Dy 0.000 0.500 0.124
```

Values from the calculation:
E_form: 18 meV per atom

***

# 2
A plane-wave DFT calculation with GGA-PBE was carried out for an optimized crystal structure of LiTeP.

CIF file:
```
data_LiTeP
_space_group_name_H-M_alt 'I m m 2'
_space_group_IT_number 44
_cell_length_a 3.008
_cell_length_b 4.171
_cell_length_c 11.234
_cell_angle_alpha 90.00
_cell_angle_beta 90.00
_cell_angle_gamma 90.00
loop_
_space_group_symop_operation_xyz
'x,y,z'
'-x,-y,z'
'-x,y,z'
'x,-y,z'
'x+1/2,y+1/2,z+1/2'
'-x+1/2,-y+1/2,z+1/2'
'-x+1/2,y+1/2,z+1/2'
'x+1/2,-y+1/2,z+1/2'
loop_
_atom_site_label
_atom_site_type_symbol
_atom_site_fract_x
_atom_site_fract_y
_atom_site_fract_z
Li1 Li 0.000 0.000 0.000
Te1 Te 0.000 0.000 0.302
P1 P 0.000 0.000 0.524
```

Values from the calculation:
energy relative to the elements, uncorrected: -155 meV per atom

***

# 3
A plane-wave DFT calculation with GGA-PBE was carried out for an optimized crystal structure of TlCoPtCl6.

CIF file:
```
data_TlCoPtCl6
_space_group_name_H-M_alt 'P 1'
_space_group_IT_number 1
_cell_length_a 6.332
_cell_length_b 6.348
_cell_length_c 7.096
_cell_angle_alpha 91.06
_cell_angle_beta 91.96
_cell_angle_gamma 116.81
loop_
_space_group_symop_operation_xyz
'x,y,z'
loop_
_atom_site_label
_atom_site_type_symbol
_atom_site_fract_x
_atom_site_fract_y
_atom_site_fract_z
Tl1 Tl 0.000 0.000 0.000
Co1 Co 0.674 0.312 0.500
Pt1 Pt 0.335 0.663 0.497
Cl1 Cl 0.008 0.636 0.312
Cl2 Cl 0.361 0.990 0.678
Cl3 Cl 0.373 0.377 0.309
Cl4 Cl 0.625 0.630 0.689
Cl5 Cl 0.639 0.023 0.288
Cl6 Cl 0.977 0.366 0.707
```

Values from the calculation:
energy relative to the elements, uncorrected: -561 meV per atom

***

# 4
A plane-wave DFT calculation with GGA-PBE was carried out for an optimized crystal structure of Ce2Co5Si.

CIF file:
```
data_Ce2Co5Si
_space_group_name_H-M_alt 'I 4 m m'
_space_group_IT_number 107
_space_group_name_Hall 'I 4 -2'
_cell_length_a 5.567
_cell_length_b 5.567
_cell_length_c 7.833
_cell_angle_alpha 90.00
_cell_angle_beta 90.00
_cell_angle_gamma 90.00
loop_
_atom_site_label
_atom_site_type_symbol
_atom_site_fract_x
_atom_site_fract_y
_atom_site_fract_z
Ce1 Ce 0.000 0.500 0.000
Co1 Co 0.000 0.000 0.488
Co2 Co 0.222 0.222 0.246
Si1 Si 0.000 0.000 0.785
```

Values from the calculation:
energy relative to the elements, uncorrected: -255 meV per atom

***

# 5
A plane-wave DFT calculation with GGA-PBE was carried out for an optimized crystal structure of Li2Sm3Zn4.

CIF file:
```
data_Li2Sm3Zn4
_space_group_name_H-M_alt 'C 1 2/m 1'
_space_group_IT_number 12
_cell_length_a 10.582
_cell_length_b 4.693
_cell_length_c 8.858
_cell_angle_alpha 90.00
_cell_angle_beta 118.51
_cell_angle_gamma 90.00
loop_
_space_group_symop_operation_xyz
'x,y,z'
'-x,-y,-z'
'-x,y,-z'
'x,-y,z'
'x+1/2,y+1/2,z'
'-x+1/2,-y+1/2,-z'
'-x+1/2,y+1/2,-z'
'x+1/2,-y+1/2,z'
loop_
_atom_site_label
_atom_site_type_symbol
_atom_site_fract_x
_atom_site_fract_y
_atom_site_fract_z
Li1 Li 0.118 0.000 0.285
Sm1 Sm 0.000 0.500 0.000
Sm2 Sm 0.166 0.000 0.672
Zn1 Zn 0.054 0.500 0.389
Zn2 Zn 0.226 0.000 0.060
```

Values from the calculation:
E_form: -205 meV per atom

***

# 6
A plane-wave DFT calculation with GGA-PBE was carried out for an optimized crystal structure of SrMnIr2.

CIF file:
```
data_SrMnIr2
_space_group_name_H-M_alt 'C m m m'
_space_group_IT_number 65
_space_group_name_Hall '-C 2 2'
_cell_length_a 6.080
_cell_length_b 7.906
_cell_length_c 2.995
_cell_angle_alpha 90.00
_cell_angle_beta 90.00
_cell_angle_gamma 90.00
loop_
_atom_site_label
_atom_site_type_symbol
_atom_site_fract_x
_atom_site_fract_y
_atom_site_fract_z
Sr1 Sr 0.000 0.000 0.000
Mn1 Mn 0.000 0.500 0.000
Ir1 Ir 0.250 0.250 0.500
```

Values from the calculation:
E_form: 415 meV per atom

***

# 7
A plane-wave DFT calculation with GGA-PBE was carried out for an optimized crystal structure of Sr2LiHg8.

CIF file:
```
data_Sr2LiHg8
_space_group_name_H-M_alt 'C 1 2/m 1'
_space_group_IT_number 12
_cell_length_a 16.595
_cell_length_b 5.299
_cell_length_c 7.149
_cell_angle_alpha 90.00
_cell_angle_beta 111.61
_cell_angle_gamma 90.00
loop_
_space_group_symop_operation_xyz
'x,y,z'
'-x,-y,-z'
'-x,y,-z'
'x,-y,z'
'x+1/2,y+1/2,z'
'-x+1/2,-y+1/2,-z'
'-x+1/2,y+1/2,-z'
'x+1/2,-y+1/2,z'
loop_
_atom_site_label
_atom_site_type_symbol
_atom_site_fract_x
_atom_site_fract_y
_atom_site_fract_z
Sr1 Sr 0.206 0.000 0.183
Li1 Li 0.000 0.500 0.500
Hg1 Hg 0.005 0.000 0.229
Hg2 Hg 0.104 0.500 0.908
Hg3 Hg 0.133 0.500 0.361
Hg4 Hg 0.158 0.000 0.651
```

Values from the calculation:
E_form: -352 meV per atom

***

# 8
A plane-wave DFT calculation with GGA-PBE was carried out for an optimized crystal structure of SrSe5.

CIF file:
```
data_SrSe5
_space_group_name_H-M_alt 'P -6 2 m'
_space_group_IT_number 189
_space_group_name_Hall 'P -6 -2'
_cell_length_a 6.6680
_cell_length_b 6.6680
_cell_length_c 3.9778
_cell_angle_alpha 90.00
_cell_angle_beta 90.00
_cell_angle_gamma 120.00
loop_
_atom_site_label
_atom_site_type_symbol
_atom_site_fract_x
_atom_site_fract_y
_atom_site_fract_z
Sr1 Sr 0.0000 0.0000 0.0000
Se1 Se 0.0000 0.6119 0.5000
Se2 Se 0.3333 0.6667 0.0000
```

Values from the calculation:
energy relative to the elements, uncorrected: -291 meV per atom

***

# 9
A plane-wave DFT calculation with GGA-PBE was carried out for an optimized crystal structure of Mg4Sn4Pb.

CIF file:
```
data_Mg4Sn4Pb
_space_group_name_H-M_alt 'I 4/m'
_space_group_IT_number 87
_space_group_name_Hall '-I 4'
_cell_length_a 10.527
_cell_length_b 10.527
_cell_length_c 4.107
_cell_angle_alpha 90.00
_cell_angle_beta 90.00
_cell_angle_gamma 90.00
loop_
_atom_site_label
_atom_site_type_symbol
_atom_site_fract_x
_atom_site_fract_y
_atom_site_fract_z
Mg1 Mg 0.153 0.178 0.000
Sn1 Sn 0.032 0.671 0.500
Pb1 Pb 0.000 0.000 0.500
```

Values from the calculation:
E_form: -41 meV per atom

***

# 10
A plane-wave DFT calculation with GGA-PBE was carried out for an optimized crystal structure of Ba2In2S5.

CIF file:
```
data_Ba2In2S5
_space_group_name_H-M_alt 'P b c a'
_space_group_IT_number 61
_cell_length_a 12.029
_cell_length_b 13.379
_cell_length_c 12.910
_cell_angle_alpha 90.00
_cell_angle_beta 90.00
_cell_angle_gamma 90.00
loop_
_space_group_symop_operation_xyz
'x,y,z'
'-x,-y,-z'
'-x+1/2,-y,z+1/2'
'x+1/2,y,-z+1/2'
'x+1/2,-y+1/2,-z'
'-x+1/2,y+1/2,z'
'-x,y+1/2,-z+1/2'
'x,-y+1/2,z+1/2'
loop_
_atom_site_label
_atom_site_type_symbol
_atom_site_fract_x
_atom_site_fract_y
_atom_site_fract_z
Ba1 Ba 0.003 0.195 0.024
Ba2 Ba 0.249 0.191 0.747
In1 In 0.057 0.550 0.202
In2 In 0.225 0.029 0.466
S1 S 0.004 0.724 0.223
S2 S 0.070 0.569 0.888
S3 S 0.094 0.024 0.880
S4 S 0.240 0.210 0.488
S5 S 0.244 0.039 0.144
```

Values from the calculation:
energy relative to the elements, uncorrected: -1311 meV per atom

***

# 11
A plane-wave DFT calculation with GGA-PBE was carried out for an optimized crystal structure of RbCd2BP.

CIF file:
```
data_RbCd2BP
_space_group_name_H-M_alt 'P 4/m m m'
_space_group_IT_number 123
_space_group_name_Hall '-P 4 2'
_cell_length_a 5.066
_cell_length_b 5.066
_cell_length_c 6.546
_cell_angle_alpha 90.00
_cell_angle_beta 90.00
_cell_angle_gamma 90.00
loop_
_atom_site_label
_atom_site_type_symbol
_atom_site_fract_x
_atom_site_fract_y
_atom_site_fract_z
Rb1 Rb 0.000 0.000 0.000
Cd1 Cd 0.000 0.500 0.500
B1 B 0.500 0.500 0.000
P1 P 0.000 0.000 0.500
```

Values from the calculation:
E_form: 1066 meV per atom

***

# 12
A plane-wave DFT calculation with GGA-PBE was carried out for an optimized crystal structure of ScRhPb2.

CIF file:
```
data_ScRhPb2
_space_group_name_H-M_alt 'P 4/m m m'
_space_group_IT_number 123
_space_group_name_Hall '-P 4 2'
_cell_length_a 3.412
_cell_length_b 3.412
_cell_length_c 7.379
_cell_angle_alpha 90.00
_cell_angle_beta 90.00
_cell_angle_gamma 90.00
loop_
_atom_site_label
_atom_site_type_symbol
_atom_site_fract_x
_atom_site_fract_y
_atom_site_fract_z
Sc1 Sc 0.000 0.000 0.000
Rh1 Rh 0.000 0.000 0.500
Pb1 Pb 0.500 0.500 0.276
```

Values from the calculation:
E_form: -150 meV per atom

***

# 13
A plane-wave DFT calculation with GGA-PBE was carried out for an optimized crystal structure of ScTi2Os.

CIF file:
```
data_ScTi2Os
_space_group_name_H-M_alt 'I -4 2 d'
_space_group_IT_number 122
_space_group_name_Hall 'I -4 2bw'
_cell_length_a 7.419
_cell_length_b 7.419
_cell_length_c 5.554
_cell_angle_alpha 90.00
_cell_angle_beta 90.00
_cell_angle_gamma 90.00
loop_
_atom_site_label
_atom_site_type_symbol
_atom_site_fract_x
_atom_site_fract_y
_atom_site_fract_z
Sc1 Sc 0.000 0.000 0.000
Ti1 Ti 0.196 0.250 0.625
Os1 Os 0.000 0.000 0.500
```

Values from the calculation:
E_form: 77 meV per atom

***

# 14
A plane-wave DFT calculation with GGA-PBE was carried out for an optimized crystal structure of SrTa2Bi.

CIF file:
```
data_SrTa2Bi
_space_group_name_H-M_alt 'I -4 2 d'
_space_group_IT_number 122
_space_group_name_Hall 'I -4 2bw'
_cell_length_a 4.801
_cell_length_b 4.801
_cell_length_c 21.151
_cell_angle_alpha 90.00
_cell_angle_beta 90.00
_cell_angle_gamma 90.00
loop_
_atom_site_label
_atom_site_type_symbol
_atom_site_fract_x
_atom_site_fract_y
_atom_site_fract_z
Sr1 Sr 0.000 0.000 0.000
Ta1 Ta 0.083 0.750 0.625
Bi1 Bi 0.000 0.000 0.500
```

Values from the calculation:
E_form: 867 meV per atom

***

# 15
A plane-wave DFT calculation with GGA-PBE was carried out for an optimized crystal structure of FeAsRh2.

CIF file:
```
data_FeAsRh2
_space_group_name_H-M_alt 'P 4/m m m'
_space_group_IT_number 123
_space_group_name_Hall '-P 4 2'
_cell_length_a 3.979
_cell_length_b 3.979
_cell_length_c 3.555
_cell_angle_alpha 90.00
_cell_angle_beta 90.00
_cell_angle_gamma 90.00
loop_
_atom_site_label
_atom_site_type_symbol
_atom_site_fract_x
_atom_site_fract_y
_atom_site_fract_z
Fe1 Fe 0.000 0.000 0.000
As1 As 0.500 0.500 0.000
Rh1 Rh 0.000 0.500 0.500
```

Values from the calculation:
E_form: -96 meV per atom

***

# 16
A plane-wave DFT calculation with GGA-PBE was carried out for an optimized crystal structure of Tb6Tl5Ga.

CIF file:
```
data_Tb6Tl5Ga
_space_group_name_H-M_alt 'P 1 2/m 1'
_space_group_IT_number 10
_cell_length_a 5.360
_cell_length_b 7.474
_cell_length_c 8.475
_cell_angle_alpha 90.00
_cell_angle_beta 108.32
_cell_angle_gamma 90.00
loop_
_space_group_symop_operation_xyz
'x,y,z'
'-x,-y,-z'
'-x,y,-z'
'x,-y,z'
loop_
_atom_site_label
_atom_site_type_symbol
_atom_site_fract_x
_atom_site_fract_y
_atom_site_fract_z
Tb1 Tb 0.000 0.241 0.000
Tb2 Tb 0.338 0.246 0.676
Tl1 Tl 0.168 0.500 0.337
Tl2 Tl 0.170 0.000 0.339
Tl3 Tl 0.500 0.500 0.000
Ga1 Ga 0.500 0.000 0.000
```

Values from the calculation:
E_form: -381 meV per atom

***

# 17
A plane-wave DFT calculation with GGA-PBE was carried out for an optimized crystal structure of Tb3Ce2HoSe6.

CIF file:
```
data_Tb3Ce2HoSe6
_space_group_name_H-M_alt 'C 1 2/m 1'
_space_group_IT_number 12
_cell_length_a 7.122
_cell_length_b 12.360
_cell_length_c 7.169
_cell_angle_alpha 90.00
_cell_angle_beta 109.44
_cell_angle_gamma 90.00
loop_
_space_group_symop_operation_xyz
'x,y,z'
'-x,-y,-z'
'-x,y,-z'
'x,-y,z'
'x+1/2,y+1/2,z'
'-x+1/2,-y+1/2,-z'
'-x+1/2,y+1/2,-z'
'x+1/2,-y+1/2,z'
loop_
_atom_site_label
_atom_site_type_symbol
_atom_site_fract_x
_atom_site_fract_y
_atom_site_fract_z
Tb1 Tb 0.000 0.000 0.000
Tb2 Tb 0.000 0.332 0.000
Ce1 Ce 0.000 0.166 0.500
Ho1 Ho 0.000 0.500 0.500
Se1 Se 0.241 0.500 0.244
Se2 Se 0.248 0.337 0.755
```

Values from the calculation:
energy relative to the elements, uncorrected: -1787 meV per atom

***

Number 1: magnetic moment 0.0 μB per cell, V 514.4 Å³ per cell, calculated density 8.2 g cm⁻³. Number 2: magnetic moment 0.0 μB per cell, V 140.9 Å³ per cell, calculated density 3.9 g cm⁻³. Number 3: magnetic moment 4.0 μB per cell, V 254.2 Å³ per cell, calculated density 4.4 g cm⁻³. Number 4: magnetic moment 0.0 μB per cell, V 242.8 Å³ per cell, calculated density 8.2 g cm⁻³. Number 5: magnetic moment 0.0 μB per cell, V 386.5 Å³ per cell, calculated density 6.2 g cm⁻³. Number 6: magnetic moment 7.5 μB per cell, V 144.0 Å³ per cell, calculated density 12.2 g cm⁻³. Number 7: magnetic moment 0.0 μB per cell, V 584.5 Å³ per cell, calculated density 10.2 g cm⁻³. Number 8: magnetic moment 0.0 μB per cell, V 153.2 Å³ per cell, calculated density 5.2 g cm⁻³. Number 9: magnetic moment 0.0 μB per cell, V 455.2 Å³ per cell, calculated density 5.7 g cm⁻³. Number 10: magnetic moment 0.0 μB per cell, V 2077.7 Å³ per cell, calculated density 4.2 g cm⁻³. Number 11: magnetic moment 1.2 μB per cell, V 168.0 Å³ per cell, calculated density 3.5 g cm⁻³. Number 12: magnetic moment 0.0 μB per cell, V 85.9 Å³ per cell, calculated density 10.9 g cm⁻³. Number 13: magnetic moment 0.0 μB per cell, V 305.7 Å³ per cell, calculated density 7.2 g cm⁻³. Number 14: magnetic moment 0.0 μB per cell, V 487.5 Å³ per cell, calculated density 9.0 g cm⁻³. Number 15: magnetic moment 3.4 μB per cell, V 56.3 Å³ per cell, calculated density 9.9 g cm⁻³. Number 16: magnetic moment 0.0 μB per cell, V 322.3 Å³ per cell, calculated density 10.5 g cm⁻³. Number 17: magnetic moment 3.7 μB per cell, V 595.0 Å³ per cell, calculated density 7.8 g cm⁻³.